Material: Mo2OsRh
Method: DFT, PBE
State: relaxed

abc: 2.757 2.757 7.958
angles: 90.00 90.00 90.00
Element x y z (fractional)
Rh 0.500 0.500 0.747
Os 0.000 0.000 0.500
Mo 0.500 0.500 0.262
Mo 0.000 0.000 0.991

**Spin magnetization**: 0.00 μB per atom
**Space-group type**: P4mm (99)
**E_form**: 0.0714 eV/atom